(1)
{"formula": "PuAl11Os", "functional": "GGA-PBE", "state": "optimized geometry", "e_form_ev_per_atom": -0.216, "space_group": "C2/m", "final_energy_ev_per_cell": -69.533, "lattice": [[4.825, -0.019, 2.010], [2.343, 6.613, 0.976], [-0.020, -0.009, 6.842]], "species": ["Al", "Al", "Al", "Al", "Al", "Al", "Al", "Al", "Al", "Al", "Al", "Os", "Pu"], "fractional_positions": [[0.000, 0.500, 0.000], [0.000, 0.000, 0.500], [0.287, 0.220, 0.213], [0.500, 0.000, 0.500], [0.017, 0.642, 0.345], [0.500, 0.220, 0.787], [0.362, 0.642, 0.655], [0.713, 0.780, 0.787], [0.638, 0.358, 0.345], [0.500, 0.780, 0.213], [0.983, 0.358, 0.655], [0.500, 0.500, 0.000], [0.000, 0.000, 0.000]]}

***

(2)
{"formula": "PuAlOs", "functional": "GGA-PBE", "state": "optimized geometry", "e_form_ev_per_atom": -0.067, "space_group": "P-1", "final_energy_ev_per_cell": -59.009, "lattice": [[-1.696, 4.852, -2.444], [-2.633, 1.244, 4.144], [4.574, -0.374, 0.452]], "species": ["Al", "Al", "Pu", "Pu", "Os", "Os"], "fractional_positions": [[0.959, 0.325, 0.642], [0.041, 0.675, 0.358], [0.514, 0.177, 0.846], [0.486, 0.823, 0.154], [0.500, 0.500, 0.500], [0.000, 0.000, 0.000]]}

***

(3)
{"formula": "Pu2AlOs3", "functional": "GGA-PBE", "state": "optimized geometry", "e_form_ev_per_atom": -0.197, "space_group": "R-3m", "final_energy_ev_per_cell": -67.280, "lattice": [[-2.008, -4.950, -1.203], [5.251, 0.541, 1.455], [-1.450, 2.581, 4.267]], "species": ["Pu", "Pu", "Os", "Os", "Os", "Al"], "fractional_positions": [[0.755, 0.377, 0.132], [0.245, 0.623, 0.868], [0.500, 0.500, 0.500], [0.500, 0.000, 0.500], [0.000, 0.000, 0.500], [0.000, 0.000, 0.000]]}

***

(4)
{"formula": "Pu2Al3Os", "functional": "GGA-PBE", "state": "optimized geometry", "e_form_ev_per_atom": -0.329, "space_group": "R-3m", "final_energy_ev_per_cell": -53.095, "lattice": [[-4.934, -2.062, 0.943], [1.617, 0.955, -5.096], [4.396, -2.997, 0.837]], "species": ["Pu", "Pu", "Al", "Al", "Al", "Os"], "fractional_positions": [[0.250, 0.625, 0.876], [0.750, 0.375, 0.124], [0.500, 0.000, 0.500], [0.500, 0.500, 0.500], [0.000, 0.000, 0.500], [0.000, 0.000, 0.000]]}

***

(5)
{"formula": "PuAl2Os", "functional": "GGA-PBE", "state": "optimized geometry", "e_form_ev_per_atom": -0.374, "polymorph_energy_ev_per_fu": 0.00, "space_group": "Cmcm", "final_energy_ev_per_cell": -69.084, "lattice": [[-2.871, 1.607, 2.469], [2.246, -4.209, 1.924], [5.322, 4.369, 3.344]], "species": ["Pu", "Pu", "Al", "Al", "Al", "Al", "Os", "Os"], "fractional_positions": [[0.934, 0.869, 0.250], [0.066, 0.131, 0.750], [0.649, 0.298, 0.051], [0.351, 0.702, 0.949], [0.351, 0.702, 0.551], [0.649, 0.298, 0.449], [0.215, 0.431, 0.250], [0.785, 0.569, 0.750]]}

***

(6)
{"formula": "PuAlSiOs", "functional": "GGA-PBE", "state": "optimized geometry", "space_group": "R3m", "final_energy_ev_per_cell": -35.881, "lattice": [[4.248, 0.000, 0.000], [2.124, 3.679, 0.000], [2.124, 1.226, 4.876]], "species": ["Si", "Os", "Al", "Pu"], "fractional_positions": [[0.267, 0.267, 0.200], [0.622, 0.622, 0.133], [0.021, 0.021, 0.938], [0.816, 0.816, 0.552]]}

***

(7)
{"formula": "PuUAlOs", "functional": "GGA-PBE", "state": "optimized geometry", "e_form_ev_per_atom": -0.161, "space_group": "F-43m", "final_energy_ev_per_cell": -41.237, "lattice": [[-4.400, 1.574, -0.677], [-3.029, -2.509, -2.612], [-3.636, -2.197, 2.060]], "species": ["Al", "U", "Os", "Pu"], "fractional_positions": [[0.000, 0.000, 0.000], [0.500, 0.500, 0.500], [0.750, 0.750, 0.750], [0.250, 0.250, 0.250]]}

***

(8)
{"formula": "RbAlOs", "functional": "GGA-PBE", "state": "optimized geometry", "e_form_ev_per_atom": 0.325, "polymorph_energy_ev_per_fu": 0.39, "space_group": "Pm", "final_energy_ev_per_cell": -29.928, "lattice": [[5.153, 0.000, -0.019], [0.000, 4.355, 0.000], [-0.453, 0.000, 7.072]], "species": ["Al", "Al", "Rb", "Rb", "Os", "Os"], "fractional_positions": [[0.723, 0.000, 0.015], [0.213, 0.000, 0.908], [0.141, 0.500, 0.360], [0.649, 0.000, 0.554], [0.475, 0.500, 0.955], [0.963, 0.500, 0.904]]}

***

(9)
{"formula": "RbAlOs", "functional": "GGA-PBE", "state": "optimized geometry", "e_form_ev_per_atom": 0.491, "polymorph_energy_ev_per_fu": 0.88, "space_group": "Cm", "final_energy_ev_per_cell": -28.934, "lattice": [[2.961, 0.000, 0.000], [0.000, 3.975, 0.000], [-0.530, 0.000, 12.713]], "species": ["Os", "Os", "Al", "Al", "Rb", "Rb"], "fractional_positions": [[0.027, 0.500, 0.792], [0.027, 0.000, 0.292], [0.524, 0.500, 0.262], [0.524, 0.000, 0.762], [0.474, 0.000, 0.022], [0.474, 0.500, 0.522]]}

***

(10)
{"formula": "RbAlOs2", "functional": "GGA-PBE", "state": "optimized geometry", "e_form_ev_per_atom": 1.127, "space_group": "I-42d", "final_energy_ev_per_cell": -45.327, "lattice": [[-2.790, -0.742, -3.820], [3.791, -1.576, -2.463], [-1.143, -9.530, -0.315]], "species": ["Al", "Al", "Os", "Os", "Os", "Os", "Rb", "Rb"], "fractional_positions": [[0.250, 0.750, 0.500], [0.500, 0.500, 0.000], [0.875, 0.577, 0.750], [0.327, 0.125, 0.250], [0.423, 0.625, 0.250], [0.375, 0.673, 0.750], [0.000, 0.000, 0.000], [0.750, 0.250, 0.500]]}

***

(11)
{"formula": "RbAl2Os2", "functional": "GGA-PBE", "state": "optimized geometry", "e_form_ev_per_atom": 0.335, "polymorph_energy_ev_per_fu": 0.00, "space_group": "P4/mbm", "final_energy_ev_per_cell": -58.470, "lattice": [[8.145, 0.000, 0.000], [0.000, 8.145, 0.000], [0.000, 0.000, 2.691]], "species": ["Os", "Os", "Os", "Os", "Al", "Al", "Al", "Al", "Rb", "Rb"], "fractional_positions": [[0.638, 0.138, 0.000], [0.138, 0.362, 0.000], [0.862, 0.638, 0.000], [0.362, 0.862, 0.000], [0.351, 0.149, 0.500], [0.149, 0.649, 0.500], [0.851, 0.351, 0.500], [0.649, 0.851, 0.500], [0.500, 0.500, 0.000], [0.000, 0.000, 0.000]]}

***

(12)
{"formula": "RbAl2Os2", "functional": "GGA-PBE", "state": "optimized geometry", "e_form_ev_per_atom": 0.479, "polymorph_energy_ev_per_fu": 0.72, "space_group": "I4/mmm", "final_energy_ev_per_cell": -28.515, "lattice": [[4.582, 0.000, 0.000], [0.000, 4.582, 0.000], [2.291, 2.291, 4.887]], "species": ["Rb", "Os", "Os", "Al", "Al"], "fractional_positions": [[0.000, 0.000, 0.000], [0.378, 0.378, 0.245], [0.622, 0.622, 0.755], [0.250, 0.750, 0.500], [0.750, 0.250, 0.500]]}

***

| no. | magnetization (μB per atom) |
| --- | --- |
| 1 | 0.43 |
| 2 | 1.41 |
| 3 | 1.54 |
| 4 | 1.70 |
| 5 | 1.19 |
| 6 | 1.29 |
| 7 | 1.77 |
| 8 | 0.00 |
| 9 | 0.00 |
| 10 | 0.00 |
| 11 | 0.00 |
| 12 | 0.00 |